(1)
## RbTl3Zn4Br12 (PBE)

Data for a relaxed RbTl3Zn4Br12 crystal.

Computed properties:
The uncorrected formation energy is -18.458 eV/f.u.

a b c (Å): 15.6115 15.6115 12.8837
angles (deg): 90.00 90.00 120.00
Last column: nearest neighbours and their distance in Å.
Space group R32 (No. 155, hexagonal axes)
One atom of each set of equivalent atoms:
Rb 0.0000 0.0000 0.0000  6 Br 3.64
Tl 0.0000 0.5336 0.0000  6 Br 3.34-3.40
Zn 0.0000 0.0000 0.5000  3 Br 2.34
Zn 0.0000 0.4594 0.5000  3 Br 2.35
Br 0.0000 0.6100 0.5000  1 Zn 2.35
Br 0.0000 0.8500 0.5000  1 Zn 2.34
Br 0.0217 0.2022 0.1596  1 Zn 2.35

---

(2)
## Rb3Tl3ZnBr8 (PBE)

Data for a relaxed Rb3Tl3ZnBr8 crystal.

Computed properties:
The uncorrected formation energy is -17.803 eV/f.u.

a b c (Å): 9.6269 9.6269 22.9981
angles (deg): 90.00 90.00 120.00
Last column: nearest neighbours and their distance in Å.
Space group R-3m (No. 166, hexagonal axes)
One atom of each set of equivalent atoms:
Rb 0.0000 0.5000 0.0000  6 Br 3.40-3.48
Tl 0.0000 0.5000 0.5000  6 Br 3.35-3.40
Zn 0.0000 0.0000 0.0000  6 Br 2.71
Br 0.0000 0.0000 0.2480  3 Tl 3.35, 3 Rb 3.40
Br 0.0689 0.5345 0.7353  1 Zn 2.71

---

(3)
## RbTlZnBr4 (PBE)

Data for a relaxed RbTlZnBr4 crystal.

Computed properties:
The uncorrected formation energy is -8.073 eV/f.u.

a b c (Å): 7.5987 7.4418 9.5953
angles (deg): 90.00 107.76 90.00
Last column: nearest neighbours and their distance in Å.
Space group P2_1/m (No. 11)
One atom of each set of equivalent atoms:
Rb 0.2187 0.2500 0.0471  6 Br 3.43-3.67
Tl 0.2663 0.2500 0.5615  5 Br 3.42-3.46
Zn 0.2182 0.7500 0.7866  4 Br 2.42-2.46
Br 0.0003 0.0030 0.7221  1 Zn 2.46
Br 0.3679 0.7500 0.0488  1 Zn 2.42
Br 0.4200 0.7500 0.6345  1 Zn 2.42

---

(4)
## Rb2ZrTlBr6 (PBE)

Data for a relaxed Rb2ZrTlBr6 crystal.

Computed properties:
Its energy relative to the lowest polymorph listed for this composition is 0.023 eV/atom. The uncorrected formation energy is -13.465 eV/f.u.

a b c (Å): 11.7697 11.7697 11.7697
angles (deg): 90.00 90.00 90.00
Last column: nearest neighbours and their distance in Å.
Space group Fm-3m (No. 225)
One atom of each set of equivalent atoms:
Rb 0.2500 0.2500 0.2500  12 Br 4.17
Zr 0.0000 0.0000 0.0000  6 Br 2.71
Tl 0.0000 0.0000 0.5000  6 Br 3.18
Br 0.0000 0.0000 0.2301  1 Zr 2.71

---

(5)
## Rb2ZrTlBr6 (PBE)

Data for a relaxed Rb2ZrTlBr6 crystal.

Computed properties:
Its energy relative to the lowest polymorph listed for this composition is 0.000 eV/atom. The uncorrected formation energy is -13.696 eV/f.u.

a b c (Å): 7.8007 7.8007 48.4843
angles (deg): 90.00 90.00 120.00
Last column: nearest neighbours and their distance in Å.
Space group R-3m (No. 166, hexagonal axes)
One atom of each set of equivalent atoms:
Rb 0.0000 0.0000 0.1430  9 Br 3.59-3.93
Rb 0.0000 0.0000 0.3101  9 Br 3.56-3.93
Zr 0.0000 0.0000 0.0000  6 Br 2.71
Zr 0.0000 0.0000 0.5000  6 Br 2.73
Tl 0.0000 0.0000 0.4162  6 Br 3.30-3.35
Br 0.0072 0.5036 0.1334  1 Zr 2.73
Br 0.0077 0.5039 0.6993  1 Zr 2.71

---

(6)
## RbTmBr3 (PBE)

Data for a relaxed RbTmBr3 crystal.

Computed properties:
The uncorrected formation energy is -7.565 eV/f.u.

a b c (Å): 5.5803 5.5803 5.5803
angles (deg): 90.00 90.00 90.00
Last column: nearest neighbours and their distance in Å.
Space group Pm-3m (No. 221)
One atom of each set of equivalent atoms:
Rb 0.0000 0.0000 0.0000  12 Br 3.95
Tm 0.5000 0.5000 0.5000  6 Br 2.79
Br 0.0000 0.5000 0.5000  2 Tm 2.79

---

no.,density of states at the Fermi level (states/eV per cell)
1,0.00
2,0.00
3,0.00
4,53.96
5,37.50
6,3.45